Tb2VF8 after structural relaxation. Source: the Alexandria database, functional GGA+U.

```
Tb2VF8
1.0
3.4464 0.0000 -0.8666
-0.1621 6.0117 -0.6447
-0.0981 -0.6611 6.8967
F Tb V
8 2 1
Direct
0.0252 0.8134 0.0505
0.6703 0.9880 0.3405
0.9748 0.1866 0.9495
0.3297 0.0120 0.6595
0.6000 0.5370 0.2001
0.2091 0.3385 0.4183
0.7909 0.6615 0.5817
0.4000 0.4630 0.7999
0.8203 0.2969 0.6405
0.1797 0.7031 0.3595
0.5000 0.0000 0.0000
```

Output
total DFT energy (no corrections) = -6.541 eV per atom